Entry 1:
A relaxed AlCr2W crystal, computed with PBE.

```
AlCr2W
1.0
-0.4074 -2.3121 -1.1470
0.1910 -1.1850 2.3209
-7.9747 0.8615 1.0962
Cr W Al
2 1 1
direct
0.0000 0.0000 0.5140 Cr
0.0000 0.0000 0.9860 Cr
0.5000 0.5000 0.2500 W
0.5000 0.5000 0.7500 Al
```

Output
VASP energy = -8.738 eV/atom
formation energy = 5.72 kcal/mol of atoms
crystal system = tetragonal

Entry 2:
A relaxed AlCrW crystal, computed with PBE.

```
AlCrW
1.0
-4.1799 0.4615 0.0548
-2.3804 -2.6607 2.2230
-1.9241 1.3207 3.4987
W Cr Al
1 1 1
direct
0.7500 0.7500 0.7500 W
0.5000 0.5000 0.5000 Cr
0.0000 0.0000 0.0000 Al
```

Output
VASP energy = -7.939 eV/atom
excess energy over the best structure of this formula in the dataset = 873.4 meV/atom
formation energy = 19.23 kcal/mol of atoms
crystal system = cubic

Entry 3:
A relaxed AlCrW2 crystal, computed with PBE.

```
AlCrW2
1.0
2.7263 0.0000 0.0000
0.0000 2.7263 0.0000
0.0000 0.0000 8.0700
Al W Cr
1 2 1
direct
0.5000 0.5000 0.2500 Al
0.0000 0.0000 0.5047 W
0.0000 0.0000 0.9953 W
0.5000 0.5000 0.7500 Cr
```

Output
VASP energy = -9.580 eV/atom
formation energy = 5.49 kcal/mol of atoms
crystal system = tetragonal

Entry 4:
A relaxed Al2CrW crystal, computed with PBE.

```
Al2CrW
1.0
-1.6657 -1.9281 -3.1453
1.8551 -3.1602 0.9548
-2.9104 -1.0486 2.1840
Al W Cr
2 1 1
direct
0.0000 0.0000 0.0000 Al
0.0000 0.5000 0.5000 Al
0.5000 0.0000 0.5000 W
0.5000 0.5000 0.0000 Cr
```

Output
VASP energy = -7.494 eV/atom
excess energy over the best structure of this formula in the dataset = 130.4 meV/atom
formation energy = 0.50 kcal/mol of atoms
crystal system = tetragonal

Entry 5:
A relaxed AlCrW2 crystal, computed with PBE.

```
AlCrW2
1.0
7.1070 0.0000 0.0000
0.0000 7.1070 0.0000
3.5535 3.5535 2.5970
Cr W Al
2 4 2
direct
0.7500 0.2500 0.5000 Cr
0.0000 0.0000 0.0000 Cr
0.3750 0.3264 0.7500 W
0.6736 0.1250 0.2500 W
0.8750 0.9236 0.7500 W
0.0764 0.6250 0.2500 W
0.2500 0.7500 0.5000 Al
0.5000 0.5000 0.0000 Al
```

Output
VASP energy = -9.048 eV/atom
formation energy = 17.76 kcal/mol of atoms
crystal system = tetragonal

Entry 6:
A relaxed AlCr2W crystal, computed with PBE.

```
AlCr2W
1.0
-1.9881 -7.4632 3.6126
-0.6912 -6.2508 5.7578
-3.3925 -5.7520 5.3017
Cr Al W
2 1 1
direct
0.2591 0.2591 0.2591 Cr
0.9921 0.9921 0.9921 Cr
0.7451 0.7451 0.7451 Al
0.5037 0.5037 0.5037 W
```

Output
VASP energy = -8.729 eV/atom
formation energy = 5.92 kcal/mol of atoms
crystal system = trigonal

Entry 7:
A relaxed AlCrW2 crystal, computed with PBE.

```
AlCrW2
1.0
4.9196 0.0089 0.0000
-2.0285 4.4819 0.0000
0.0000 0.0000 2.6955
W Al Cr
2 1 1
direct
0.0000 0.0000 0.0000 W
0.5000 0.5000 0.0000 W
0.5000 0.0000 0.5000 Al
0.0000 0.5000 0.5000 Cr
```

Output
VASP energy = -9.600 eV/atom
formation energy = 5.02 kcal/mol of atoms
crystal system = orthorhombic

Entry 8:
A relaxed AlCr2W crystal, computed with PBE.

```
AlCr2W
1.0
-1.0977 2.6252 1.2940
-2.4407 -2.3195 2.6353
3.0755 -0.0823 2.7760
Al Cr W
1 2 1
direct
0.0000 0.5000 0.5000 Al
0.5000 0.5000 0.0000 Cr
0.0000 0.0000 0.0000 Cr
0.5000 0.0000 0.5000 W
```

Output
VASP energy = -8.857 eV/atom
formation energy = 2.97 kcal/mol of atoms
crystal system = orthorhombic

Entry 9:
A relaxed AlCrW crystal, computed with PBE.

```
AlCrW
1.0
4.1251 0.0000 0.0000
2.0626 3.5725 0.0000
2.0626 1.1908 3.3681
W Cr Al
1 1 1
direct
0.0000 0.0000 0.0000 W
0.7500 0.7500 0.7500 Cr
0.5000 0.5000 0.5000 Al
```

Output
VASP energy = -8.172 eV/atom
excess energy over the best structure of this formula in the dataset = 641.0 meV/atom
formation energy = 13.87 kcal/mol of atoms
crystal system = cubic

Entry 10:
A relaxed AlCrW2 crystal, computed with PBE.

```
AlCrW2
1.0
-2.3261 -2.7961 8.5119
-4.3209 -4.1093 7.0798
-1.8153 -5.2875 7.3775
Cr W Al
1 2 1
direct
0.7513 0.7513 0.7513 Cr
0.0041 0.0041 0.0041 W
0.2482 0.2482 0.2482 W
0.4965 0.4965 0.4965 Al
```

Output
VASP energy = -9.491 eV/atom
formation energy = 7.54 kcal/mol of atoms
crystal system = trigonal

Entry 11:
A relaxed AlCrW2 crystal, computed with PBE.

```
AlCrW2
1.0
4.3255 0.0000 0.0000
0.0000 2.6911 -0.0036
0.0000 0.9919 5.0698
Al W Cr
1 2 1
direct
0.0000 0.5500 0.5056 Al
0.0000 0.9769 0.9886 W
0.5000 0.2077 0.2581 W
0.5000 0.7654 0.7476 Cr
```

Output
VASP energy = -9.761 eV/atom
formation energy = 1.31 kcal/mol of atoms
crystal system = monoclinic

Entry 12:
A relaxed ZrAl2CrW crystal, computed with PBE.

```
ZrAl2CrW
1.0
-3.1162 2.5237 2.0608
-0.0734 -2.9286 3.4756
3.2573 2.3494 2.0485
Zr Al Cr W
1 2 1 1
direct
0.5000 0.5000 0.5000 Zr
0.5000 0.0000 0.0000 Al
0.0000 0.0000 0.5000 Al
0.0000 0.0000 0.0000 Cr
0.0000 0.5000 0.0000 W
```

Output
VASP energy = -7.177 eV/atom
formation energy = 12.57 kcal/mol of atoms
crystal system = tetragonal

Entry 13:
A relaxed YAl3Cr crystal, computed with PBE.

```
YAl3Cr
1.0
-4.0734 -1.1491 -1.8738
2.1785 -1.5858 -3.7634
0.2923 -4.1939 1.9364
Y Al Cr
1 3 1
direct
0.5000 0.5000 0.5000 Y
0.0000 0.0000 0.5000 Al
0.0000 0.5000 0.0000 Al
0.5000 0.0000 0.0000 Al
0.0000 0.0000 0.0000 Cr
```

Output
VASP energy = -5.509 eV/atom
excess energy over the best structure of this formula in the dataset = 0.0 meV/atom
formation energy = -1.06 kcal/mol of atoms
crystal system = cubic

Entry 14:
A relaxed YAl2Cr crystal, computed with PBE.

```
YAl2Cr
1.0
-1.5013 -1.9747 -2.0924
0.0401 -2.3742 2.2120
-6.3720 2.2094 2.4869
Al Y Cr
2 1 1
direct
0.0000 0.0000 0.0463 Al
0.5000 0.5000 0.2700 Al
0.5000 0.5000 0.7322 Y
0.0000 0.0000 0.4515 Cr
```

Output
VASP energy = -5.893 eV/atom
formation energy = 0.00 kcal/mol of atoms
crystal system = tetragonal

Entry 15:
A relaxed YAl11Cr crystal, computed with PBE.

```
YAl11Cr
1.0
-2.0116 -2.1584 4.2958
1.8736 -6.8175 0.5041
4.1869 0.5897 5.4181
Al Y Cr
11 1 1
direct
0.0000 0.0000 0.5000 Al
0.5000 0.0000 0.5000 Al
0.4991 0.7762 0.2140 Al
0.3711 0.6379 0.6558 Al
0.0000 0.5000 0.0000 Al
0.7132 0.7762 0.7860 Al
0.0269 0.6379 0.3442 Al
0.6289 0.3621 0.3442 Al
0.9731 0.3621 0.6558 Al
0.2868 0.2238 0.2140 Al
0.5009 0.2238 0.7860 Al
0.0000 0.0000 0.0000 Y
0.5000 0.5000 0.0000 Cr
```

Output
VASP energy = -4.559 eV/atom
formation energy = -3.58 kcal/mol of atoms
crystal system = monoclinic

Entry 16:
A relaxed Y2AlCr2 crystal, computed with PBE.

```
Y2AlCr2
1.0
-2.8789 3.3669 0.8511
-1.1181 0.1481 -4.3676
-6.0986 -1.9817 -0.8354
Cr Y Al
2 2 1
direct
0.5790 0.5790 0.8420 Cr
0.4210 0.4210 0.1580 Cr
0.2500 0.7500 0.5000 Y
0.7500 0.2500 0.5000 Y
0.0000 0.0000 0.0000 Al
```

Output
VASP energy = -6.358 eV/atom
formation energy = 19.04 kcal/mol of atoms
crystal system = tetragonal

Entry 17:
A relaxed YAl2Cr crystal, computed with PBE.

```
YAl2Cr
1.0
-1.2343 -0.2090 -5.1943
1.3704 -2.2516 -4.6476
-2.8476 -3.8522 -0.8253
Al Y Cr
2 1 1
direct
0.7538 0.7538 0.7736 Al
0.0170 0.0170 0.9500 Al
0.2445 0.2445 0.2783 Y
0.4847 0.4847 0.4981 Cr
```

Output
VASP energy = -5.822 eV/atom
formation energy = 1.63 kcal/mol of atoms
crystal system = monoclinic

Entry 18:
A relaxed Y3Al28Cr8 crystal, computed with PBE.

```
Y3Al28Cr8
1.0
6.3793 2.5576 -0.0038
-6.3793 2.5576 -0.0038
0.0000 2.4208 19.1019
Al Cr Y
28 8 3
direct
0.4100 0.1897 0.3989 Al
0.9690 0.5967 0.4431 Al
0.2595 0.6097 0.1102 Al
0.3335 0.3335 0.8355 Al
0.1376 0.9123 0.9290 Al
0.4727 0.2454 0.2585 Al
0.7251 0.0732 0.2206 Al
0.7405 0.3903 0.8898 Al
0.8624 0.0877 0.0710 Al
0.5273 0.7546 0.7415 Al
0.2454 0.4727 0.2585 Al
0.8103 0.5900 0.6011 Al
0.9268 0.2749 0.7794 Al
0.4033 0.0310 0.5569 Al
0.3903 0.7405 0.8898 Al
0.0000 0.0000 0.5000 Al
0.1897 0.4100 0.3989 Al
0.6097 0.2595 0.1102 Al
0.0310 0.4033 0.5569 Al
0.5900 0.8103 0.6011 Al
0.9123 0.1376 0.9290 Al
0.5967 0.9690 0.4431 Al
0.5000 0.5000 0.5000 Al
0.6665 0.6665 0.1645 Al
0.0877 0.8624 0.0710 Al
0.2749 0.9268 0.7794 Al
0.7546 0.5273 0.7415 Al
0.0732 0.7251 0.2206 Al
0.1658 0.1658 0.1664 Cr
0.3408 0.8327 0.3316 Cr
0.6592 0.1673 0.6684 Cr
0.8342 0.8342 0.8336 Cr
0.0000 0.5000 0.0000 Cr
0.1673 0.6592 0.6684 Cr
0.8327 0.3408 0.3316 Cr
0.5000 0.0000 0.0000 Cr
0.5000 0.5000 0.0000 Y
0.1663 0.1663 0.6676 Y
0.8337 0.8337 0.3324 Y
```

Output
VASP energy = -5.380 eV/atom
formation energy = -5.12 kcal/mol of atoms
crystal system = monoclinic

Entry 19:
A relaxed YAl2Cr2 crystal, computed with PBE.

```
YAl2Cr2
1.0
7.6282 0.0000 0.0000
0.0000 7.6282 0.0000
0.0000 0.0000 3.0091
Cr Y Al
4 2 4
direct
0.6726 0.8274 0.5000 Cr
0.3274 0.1726 0.5000 Cr
0.1726 0.6726 0.5000 Cr
0.8274 0.3274 0.5000 Cr
0.0000 0.0000 0.0000 Y
0.5000 0.5000 0.0000 Y
0.1225 0.3775 0.0000 Al
0.6225 0.1225 0.0000 Al
0.3775 0.8775 0.0000 Al
0.8775 0.6225 0.0000 Al
```

Output
VASP energy = -6.581 eV/atom
excess energy over the best structure of this formula in the dataset = 14.9 meV/atom
formation energy = 1.33 kcal/mol of atoms
crystal system = tetragonal

Entry 20:
A relaxed YAlCr4 crystal, computed with PBE.

```
YAlCr4
1.0
3.8654 2.1875 2.3361
-0.8285 3.0977 3.8603
1.2392 -1.4052 4.6555
Y Cr Al
1 4 1
direct
0.7500 0.7500 0.7500 Y
0.8782 0.3739 0.3739 Cr
0.3739 0.3739 0.3739 Cr
0.3739 0.8782 0.3739 Cr
0.3739 0.3739 0.8782 Cr
0.0000 0.0000 0.0000 Al
```

Output
VASP energy = -7.900 eV/atom
formation energy = 4.99 kcal/mol of atoms
crystal system = cubic

Entry 21:
A relaxed YAl2Cr2 crystal, computed with PBE.

```
YAl2Cr2
1.0
7.6805 0.0000 0.0000
0.0000 7.6805 0.0000
0.0000 0.0000 2.7931
Y Cr Al
2 4 4
direct
0.0000 0.0000 0.0000 Y
0.5000 0.5000 0.0000 Y
0.9009 0.5991 0.0000 Cr
0.5991 0.0991 0.0000 Cr
0.0991 0.4009 0.0000 Cr
0.4009 0.9009 0.0000 Cr
0.8152 0.3152 0.5000 Al
0.1848 0.6848 0.5000 Al
0.6848 0.8152 0.5000 Al
0.3152 0.1848 0.5000 Al
```

Output
VASP energy = -6.595 eV/atom
excess energy over the best structure of this formula in the dataset = 1.5 meV/atom
formation energy = 1.02 kcal/mol of atoms
crystal system = tetragonal

Entry 22:
A relaxed YAl2Cr crystal, computed with PBE.

```
YAl2Cr
1.0
-3.5172 -1.1407 2.0783
-1.0162 -2.6308 -3.1637
2.2010 -3.2107 1.9628
Cr Al Y
1 2 1
direct
0.5000 0.0000 0.5000 Cr
0.0000 0.0000 0.0000 Al
0.5000 0.5000 0.0000 Al
0.0000 0.5000 0.5000 Y
```

Output
VASP energy = -5.967 eV/atom
formation energy = -1.70 kcal/mol of atoms
crystal system = tetragonal

Entry 23:
A relaxed Y2AlCr crystal, computed with PBE.

```
Y2AlCr
1.0
-7.4917 -2.1812 -0.8179
1.0003 -0.5243 -7.7638
-2.4501 -4.1958 -3.9964
Al Y Cr
2 4 2
direct
0.2500 0.7500 0.5000 Al
0.5000 0.5000 0.0000 Al
0.6527 0.1250 0.2500 Y
0.0973 0.6250 0.2500 Y
0.3750 0.3473 0.7500 Y
0.8750 0.9027 0.7500 Y
0.0000 0.0000 0.0000 Cr
0.7500 0.2500 0.5000 Cr
```

Output
VASP energy = -5.943 eV/atom
formation energy = 14.55 kcal/mol of atoms
crystal system = tetragonal

Entry 24:
A relaxed YAl2Cr crystal, computed with PBE.

```
YAl2Cr
1.0
9.5820 0.0043 0.0026
9.0735 3.0799 0.0026
9.0735 1.5001 2.6899
Al Cr Y
2 1 1
direct
0.0078 0.0078 0.0078 Al
0.7532 0.7532 0.7532 Al
0.4929 0.4929 0.4929 Cr
0.2462 0.2462 0.2462 Y
```

Output
VASP energy = -5.568 eV/atom
formation energy = 7.50 kcal/mol of atoms
crystal system = trigonal

Entry 25:
A relaxed YAlCr3 crystal, computed with PBE.

```
YAlCr3
1.0
4.6739 0.0000 0.0000
0.0000 4.6739 0.0000
0.0000 0.0000 4.6739
Cr Y Al
3 1 1
direct
0.0000 0.0000 0.5000 Cr
0.5000 0.0000 0.0000 Cr
0.0000 0.5000 0.0000 Cr
0.5000 0.5000 0.5000 Y
0.0000 0.0000 0.0000 Al
```

Output
VASP energy = -6.893 eV/atom
excess energy over the best structure of this formula in the dataset = 0.0 meV/atom
formation energy = 21.27 kcal/mol of atoms
crystal system = cubic

Entry 26:
A relaxed Y3AlCr crystal, computed with PBE.

```
Y3AlCr
1.0
5.1973 0.0000 0.0000
0.0000 5.1973 0.0000
0.0000 0.0000 5.1973
Y Cr Al
3 1 1
direct
0.0000 0.0000 0.5000 Y
0.5000 0.0000 0.0000 Y
0.0000 0.5000 0.0000 Y
0.0000 0.0000 0.0000 Cr
0.5000 0.5000 0.5000 Al
```

Output
VASP energy = -6.117 eV/atom
excess energy over the best structure of this formula in the dataset = 0.0 meV/atom
formation energy = 10.03 kcal/mol of atoms
crystal system = cubic